Entry 1:
# Na5Rh2F12 GGA-PBE optimized geometry
# Raw formation energy ... -2085 meV per atom
data_Na5Rh2F12
_chemical_formula_sum 'Na10 Rh4 F24'
_space_group_name_H-M_alt 'C 1 2/m 1'
_space_group_IT_number 12
_space_group_name_Hall '-C 2y'
_cell_length_a 12.979
_cell_length_b 6.115
_cell_length_c 7.283
_cell_angle_alpha 90.00
_cell_angle_beta 108.93
_cell_angle_gamma 90.00
loop_
_atom_site_label
_atom_site_type_symbol
_atom_site_fract_x
_atom_site_fract_y
_atom_site_fract_z
_atom_site_occupancy
Na1 Na 0.000 0.000 0.000 1
Na2 Na 0.194 0.500 0.310 1
Na3 Na 0.218 0.500 0.893 1
Rh1 Rh 0.000 0.250 0.500 1
F1 F 0.007 0.500 0.685 1
F2 F 0.008 0.000 0.683 1
F3 F 0.145 0.251 0.064 1
F4 F 0.160 0.258 0.572 1

---

Entry 2:
# LiAgBiTe3 GGA-PBE optimized geometry
# Raw formation energy ... -259 meV per atom
data_LiAgBiTe3
_chemical_formula_sum 'Li2 Ag2 Bi2 Te6'
_space_group_name_H-M_alt 'P 1 21/m 1'
_space_group_IT_number 11
_space_group_name_Hall '-P 2yb'
_cell_length_a 9.083
_cell_length_b 4.352
_cell_length_c 9.803
_cell_angle_alpha 90.00
_cell_angle_beta 112.38
_cell_angle_gamma 90.00
loop_
_atom_site_label
_atom_site_type_symbol
_atom_site_fract_x
_atom_site_fract_y
_atom_site_fract_z
_atom_site_occupancy
Li1 Li 0.229 0.250 0.174 1
Ag1 Ag 0.401 0.750 0.422 1
Bi1 Bi 0.269 0.750 0.818 1
Te1 Te 0.051 0.250 0.853 1
Te2 Te 0.243 0.250 0.480 1
Te3 Te 0.445 0.750 0.148 1

---

Entry 3:
# Pr2Dy2Hg7 GGA-PBE optimized geometry
# DFT formation energy ... -125 meV per atom
data_Pr2Dy2Hg7
_chemical_formula_sum 'Pr4 Dy4 Hg14'
_space_group_name_H-M_alt 'C m m m'
_space_group_IT_number 65
_space_group_name_Hall '-C 2 2'
_cell_length_a 9.980
_cell_length_b 11.065
_cell_length_c 6.172
_cell_angle_alpha 90.00
_cell_angle_beta 90.00
_cell_angle_gamma 90.00
loop_
_atom_site_label
_atom_site_type_symbol
_atom_site_fract_x
_atom_site_fract_y
_atom_site_fract_z
_atom_site_occupancy
Pr1 Pr 0.188 0.000 0.000 1
Dy1 Dy 0.000 0.272 0.500 1
Hg1 Hg 0.000 0.000 0.500 1
Hg2 Hg 0.000 0.500 0.233 1
Hg3 Hg 0.250 0.250 0.240 1